Entry 1:
The following is a DFT calculation (GGA-PBEsol) of a relaxed structure of Ta4ReOs.

Geometry as CIF:
```
data_Ta4ReOs
_symmetry_space_group_name_H-M 'F -4 3 m'
_symmetry_Int_Tables_number 216
_symmetry_space_group_name_Hall 'F -4 2 3'
_cell_length_a 7.3942
_cell_length_b 7.3942
_cell_length_c 7.3942
_cell_angle_alpha 90.00
_cell_angle_beta 90.00
_cell_angle_gamma 90.00
loop_
_atom_site_label
_atom_site_type_symbol
_atom_site_fract_x
_atom_site_fract_y
_atom_site_fract_z
Ta1 Ta 0.1252 0.1252 0.1252
Re1 Re 0.0000 0.0000 0.5000
Os1 Os 0.2500 0.2500 0.7500
```

Summary:
Calculated total energy ... -0.8892 Ry per atom



Entry 2:
The following is a DFT calculation (GGA-PBEsol) of a relaxed structure of CrCdF2.

Geometry as CIF:
```
data_CrCdF2
_symmetry_space_group_name_H-M 'F m -3 m'
_symmetry_Int_Tables_number 225
_symmetry_space_group_name_Hall '-F 4 2 3'
_cell_length_a 6.0416
_cell_length_b 6.0416
_cell_length_c 6.0416
_cell_angle_alpha 90.00
_cell_angle_beta 90.00
_cell_angle_gamma 90.00
loop_
_atom_site_label
_atom_site_type_symbol
_atom_site_fract_x
_atom_site_fract_y
_atom_site_fract_z
Cr1 Cr 0.0000 0.0000 0.0000
Cd1 Cd 0.0000 0.0000 0.5000
F1 F 0.2500 0.2500 0.2500
```

Summary:
Uncorrected formation energy ... -845 meV/atom



Entry 3:
The following is a DFT calculation (GGA-PBEsol) of a relaxed structure of CeTh3.

Geometry as CIF:
```
data_CeTh3
_symmetry_space_group_name_H-M 'P m -3 m'
_symmetry_Int_Tables_number 221
_symmetry_space_group_name_Hall '-P 4 2 3'
_cell_length_a 4.8818
_cell_length_b 4.8818
_cell_length_c 4.8818
_cell_angle_alpha 90.00
_cell_angle_beta 90.00
_cell_angle_gamma 90.00
loop_
_atom_site_label
_atom_site_type_symbol
_atom_site_fract_x
_atom_site_fract_y
_atom_site_fract_z
Ce1 Ce 0.0000 0.0000 0.0000
Th1 Th 0.0000 0.5000 0.5000
```

Summary:
Calculated total energy ... -0.5671 Ry per atom



Entry 4:
The following is a DFT calculation (GGA-PBEsol) of a relaxed structure of SbPbIO2.

Geometry as CIF:
```
data_SbPbIO2
_symmetry_space_group_name_H-M 'I 4 m m'
_symmetry_Int_Tables_number 107
_symmetry_space_group_name_Hall 'I 4 -2'
_cell_length_a 3.9218
_cell_length_b 3.9218
_cell_length_c 13.4890
_cell_angle_alpha 90.00
_cell_angle_beta 90.00
_cell_angle_gamma 90.00
loop_
_atom_site_label
_atom_site_type_symbol
_atom_site_fract_x
_atom_site_fract_y
_atom_site_fract_z
Sb1 Sb 0.0000 0.0000 0.0000
Pb1 Pb 0.0000 0.0000 0.6778
I1 I 0.0000 0.0000 0.3321
O1 O 0.0000 0.5000 0.0705
```

Summary:
Uncorrected formation energy ... -1082 meV/atom



Entry 5:
The following is a DFT calculation (GGA-PBEsol) of a relaxed structure of LiMnPO4.

Geometry as CIF:
```
data_LiMnPO4
_symmetry_space_group_name_H-M 'P 64 2 2'
_symmetry_Int_Tables_number 181
_symmetry_space_group_name_Hall 'P 64 2 (0 0 2)'
_cell_length_a 10.5265
_cell_length_b 10.5265
_cell_length_c 12.5944
_cell_angle_alpha 90.00
_cell_angle_beta 90.00
_cell_angle_gamma 120.00
loop_
_atom_site_label
_atom_site_type_symbol
_atom_site_fract_x
_atom_site_fract_y
_atom_site_fract_z
Li1 Li 0.0000 0.0000 0.0000
Li2 Li 0.0000 0.5000 0.1588
Li3 Li 0.0000 0.5000 0.8333
Mn1 Mn 0.0000 0.2504 0.3333
Mn2 Mn 0.2468 0.4936 0.0000
P1 P 0.0000 0.2425 0.8333
P2 P 0.2472 0.4943 0.5000
O1 O 0.0604 0.1863 0.7442
O2 O 0.1003 0.4026 0.4403
O3 O 0.1165 0.3945 0.8776
O4 O 0.2056 0.5823 0.5762
```

Summary:
Uncorrected formation energy ... -2011 meV/atom
ΔE to the lowest computed polymorph ... 62 meV/atom



Entry 6:
The following is a DFT calculation (GGA-PBEsol) of a relaxed structure of KAu.

Geometry as CIF:
```
data_KAu
_symmetry_space_group_name_H-M 'C 1 m 1'
_symmetry_Int_Tables_number 8
_cell_length_a 11.4148
_cell_length_b 4.9186
_cell_length_c 8.3464
_cell_angle_alpha 90.00
_cell_angle_beta 133.03
_cell_angle_gamma 90.00
loop_
_symmetry_equiv_pos_as_xyz
'x,y,z'
'x,-y,z'
'x+1/2,y+1/2,z'
'x+1/2,-y+1/2,z'
loop_
_atom_site_label
_atom_site_type_symbol
_atom_site_fract_x
_atom_site_fract_y
_atom_site_fract_z
K1 K 0.0000 0.0000 0.0000
K2 K 0.0571 0.5000 0.6983
K3 K 0.3596 0.5000 0.3038
Au1 Au 0.1278 0.5000 0.3967
Au2 Au 0.2309 0.0000 0.6021
Au3 Au 0.3122 0.0000 0.9998
```

Summary:
Calculated total energy ... -0.1990 Ry per atom



Entry 7:
The following is a DFT calculation (GGA-PBEsol) of a relaxed structure of Ge3RhAu.

Geometry as CIF:
```
data_Ge3RhAu
_symmetry_space_group_name_H-M 'P m -3 m'
_symmetry_Int_Tables_number 221
_symmetry_space_group_name_Hall '-P 4 2 3'
_cell_length_a 4.8112
_cell_length_b 4.8112
_cell_length_c 4.8112
_cell_angle_alpha 90.00
_cell_angle_beta 90.00
_cell_angle_gamma 90.00
loop_
_atom_site_label
_atom_site_type_symbol
_atom_site_fract_x
_atom_site_fract_y
_atom_site_fract_z
Ge1 Ge 0.0000 0.0000 0.5000
Rh1 Rh 0.5000 0.5000 0.5000
Au1 Au 0.0000 0.0000 0.0000
```

Summary:
Calculated total energy ... -0.3160 Ry per atom



Entry 8:
The following is a DFT calculation (GGA-PBEsol) of a relaxed structure of Ti2OsPdN.

Geometry as CIF:
```
data_Ti2OsPdN
_symmetry_space_group_name_H-M 'P 4/m m m'
_symmetry_Int_Tables_number 123
_symmetry_space_group_name_Hall '-P 4 2'
_cell_length_a 4.6236
_cell_length_b 4.6236
_cell_length_c 4.7640
_cell_angle_alpha 90.00
_cell_angle_beta 90.00
_cell_angle_gamma 90.00
loop_
_atom_site_label
_atom_site_type_symbol
_atom_site_fract_x
_atom_site_fract_y
_atom_site_fract_z
Ti1 Ti 0.0000 0.5000 0.0000
Os1 Os 0.0000 0.0000 0.0000
Pd1 Pd 0.0000 0.0000 0.5000
N1 N 0.5000 0.5000 0.5000
```

Summary:
Uncorrected formation energy ... 1718 meV/atom



| no. | magnetic moment (μB per cell) |
| --- | --- |
| 1 | 2.0 |
| 2 | 18.3 |
| 3 | 0.0 |
| 4 | 0.0 |
| 5 | 60.0 |
| 6 | 0.0 |
| 7 | 0.0 |
| 8 | 1.5 |